YPb2AuO5 PBE optimized geometry; calculated total energy = -5.9970 eV per atom; symmetry = Cmc2_1, No. 36; volume = 16.7 A^3/atom
1.0
-0.320 1.447 3.176
-7.201 -1.579 -1.941
0.982 -10.448 4.858
Pb O Y Au
4 10 2 2
direct
0.865 0.730 0.734
0.135 0.270 0.234
0.122 0.244 0.705
0.878 0.756 0.205
0.237 0.473 0.375
0.092 0.184 0.045
0.626 0.252 0.581
0.275 0.550 0.645
0.763 0.527 0.875
0.725 0.450 0.145
0.374 0.748 0.081
0.554 0.108 0.297
0.908 0.816 0.545
0.446 0.892 0.797
0.244 0.488 0.991
0.756 0.512 0.491
0.529 0.058 0.950
0.471 0.942 0.450

ZnPbAu2O PBE optimized geometry; calculated total energy = -2.6083 eV per atom; symmetry = P4/mmm, No. 123; volume = 25.3 A^3/atom
1.0
-0.935 4.439 -1.288
-2.142 -1.879 -4.922
-4.267 -0.325 1.981
Au O Pb Zn
2 1 1 1
direct
0.000 0.000 0.500
0.500 0.000 0.000
0.500 0.500 0.500
0.000 0.500 0.000
0.000 0.000 0.000

PdAu3O PBE optimized geometry; calculated total energy = -3.6154 eV per atom; symmetry = Pm-3m, No. 221; volume = 17.4 A^3/atom
1.0
-4.107 0.024 -1.655
-1.570 -1.462 3.873
-0.525 4.179 1.365
Au O Pd
3 1 1
direct
0.000 0.000 0.500
0.500 0.000 0.000
0.000 0.500 0.000
0.000 0.000 0.000
0.500 0.500 0.500

Pd2AuO3 PBE optimized geometry; calculated total energy = -4.6612 eV per atom; symmetry = C2/c, No. 15; volume = 12.8 A^3/atom
1.0
4.456 0.000 0.000
0.000 6.219 0.006
-2.228 -1.559 5.526
O Au Pd
6 2 4
direct
0.781 0.891 0.563
0.219 0.109 0.437
0.502 0.250 0.000
0.218 0.609 0.437
0.498 0.750 0.000
0.782 0.391 0.563
0.998 0.750 0.000
0.002 0.250 0.000
0.340 0.920 0.681
0.660 0.080 0.319
0.659 0.580 0.319
0.341 0.420 0.681